# 1
The following is a PBE-GGA calculation of Na3SmHg12 after structural relaxation, from Alexandria via LeMat-Bulk.

Values from the calculation:
ΔH_f (0 K)   -3.607 eV per formula unit
Space-group type   P4/mmm
Total magnetization   0.00 μB per formula unit
Total DFT energy (no corrections)   -0.99 eV per atom
Fermi-level density of states   5.83 states/eV/cell

a b c (Å): 4.6714 4.6714 18.6778
angles (deg): 90.00 90.00 90.00
Closest atoms and distances in Å follow each position.
Element x y z (fractional)
Na1 0.0000 0.0000 0.0000  12 Hg 3.30-3.31
Na2 0.0000 0.0000 0.2498  12 Hg 3.29-3.31
Na3 0.0000 0.0000 0.7502  12 Hg 3.29-3.31
Sm1 0.0000 0.0000 0.5000  12 Hg 3.30
Hg1 0.0000 0.5000 0.1259  4 Na 3.29-3.31, 8 Hg 3.30-3.32
Hg2 0.0000 0.5000 0.3754  8 Hg 3.27-3.30, 2 Sm 3.30, 2 Na 3.31
Hg3 0.0000 0.5000 0.6246  8 Hg 3.27-3.30, 2 Sm 3.30, 2 Na 3.31
Hg4 0.0000 0.5000 0.8741  4 Na 3.29-3.31, 8 Hg 3.30-3.32
Hg5 0.5000 0.0000 0.1259  4 Na 3.29-3.31, 8 Hg 3.30-3.32
Hg6 0.5000 0.0000 0.3754  8 Hg 3.27-3.30, 2 Sm 3.30, 2 Na 3.31
Hg7 0.5000 0.0000 0.6246  8 Hg 3.27-3.30, 2 Sm 3.30, 2 Na 3.31
Hg8 0.5000 0.0000 0.8741  4 Na 3.29-3.31, 8 Hg 3.30-3.32
Hg9 0.5000 0.5000 0.0000  4 Na 3.30, 8 Hg 3.31
Hg10 0.5000 0.5000 0.2526  8 Hg 3.27-3.32, 4 Na 3.30
Hg11 0.5000 0.5000 0.5000  8 Hg 3.30, 4 Sm 3.30
Hg12 0.5000 0.5000 0.7474  8 Hg 3.27-3.32, 4 Na 3.30

# 2
The following is a PBE-GGA calculation of Tb6Ge2Se3S after structural relaxation, from Alexandria via LeMat-Bulk.

Values from the calculation:
Space-group type   C2/m
Total magnetization   0.00 μB per formula unit
Total DFT energy (no corrections)   -5.89 eV per atom
Fermi-level density of states   4.12 states/eV/cell

a b c (Å): 9.2027 9.2027 8.2330
angles (deg): 103.42 103.42 25.78
Closest atoms and distances in Å follow each position.
Element x y z (fractional)
Tb1 0.0042 0.0042 0.2422  1 Ge 2.82, 2 S 2.85, 3 Se 2.96-2.97
Tb2 0.3312 0.3312 0.4243  3 Ge 2.87-2.88, 3 Se 2.94-2.97
Tb3 0.3362 0.3362 0.9091  2 Ge 2.84, 1 S 2.85, 3 Se 2.95-2.98
Tb4 0.6638 0.6638 0.0909  2 Ge 2.84, 1 S 2.85, 3 Se 2.95-2.98
Tb5 0.6688 0.6688 0.5757  3 Ge 2.87-2.88, 3 Se 2.94-2.97
Tb6 0.9958 0.9958 0.7578  1 Ge 2.82, 2 S 2.85, 3 Se 2.96-2.97
Ge1 0.1658 0.1658 0.3304  6 Tb 2.82-2.88
Ge2 0.8342 0.8342 0.6696  6 Tb 2.82-2.88
Se1 0.1654 0.1654 0.8341  6 Tb 2.95-2.98
Se2 0.5000 0.5000 0.5000  6 Tb 2.94-2.97
Se3 0.8346 0.8346 0.1659  6 Tb 2.95-2.98
S1 0.5000 0.5000 0.0000  6 Tb 2.85

# 3
The following is a PBE-GGA calculation of Tb4MgIn after structural relaxation, from Alexandria via LeMat-Bulk.

Values from the calculation:
ΔH_f (0 K)   0.991 eV per formula unit
Space-group type   R-3m
Total magnetization   0.00 μB per formula unit
Polymorph energy (0 for the lowest one)   3.19 kcal/mol of atoms
Total DFT energy (no corrections)   -3.64 eV per atom
Fermi-level density of states   9.86 states/eV/cell

a b c (Å): 9.0973 9.0973 9.0973
angles (deg): 33.15 33.15 33.15
Closest atoms and distances in Å follow each position.
Element x y z (fractional)
Tb1 0.1246 0.1246 0.1246  3 In 3.19, 1 Mg 3.21
Tb2 0.3755 0.3755 0.3755  3 Mg 3.19, 1 In 3.21
Tb3 0.6245 0.6245 0.6245  3 Mg 3.19, 1 In 3.21
Tb4 0.8754 0.8754 0.8754  3 In 3.19, 1 Mg 3.21
Mg1 0.0000 0.0000 0.0000  8 Tb 3.19-3.21
In1 0.5000 0.5000 0.5000  8 Tb 3.19-3.21